Record 1
## CsCd2NiCl8 (PBE-GGA)

Data for an optimized crystal structure of CsCd2NiCl8.

The value obtained for the volume is 31.4 Å³/atom. The calculation puts the raw total energy at -35.2 eV/cell. The formation energy from raw total energies comes out at -0.999 eV per atom. For the total moment, the calculation gives 0.0797 μB/atom.

It has space group P-1 (No. 2), with a = 6.304 Å, b = 6.319 Å, c = 10.330 Å, α = 73.92°, β = 72.98° and γ = 80.53°. Symmetry generates all atoms from Cs at (0.000, 0.000, 0.000), Cd at (0.482, 0.666, 0.643), Ni at (0.000, 0.000, 0.500), Cl at (0.200, 0.188, 0.296), Cl at (0.223, 0.077, 0.612), Cl at (0.254, 0.658, 0.470) and Cl at (0.297, 0.489, 0.882).



Record 2
## SrLiDyTl (PBE-GGA)

Data for an optimized crystal structure of SrLiDyTl.

For the formation energy, the calculation gives -14 kJ/mol of atoms. The value obtained for the volume is 29.7 Å³/atom. The calculation puts the raw total energy at -44.6 eV/cell. For the total moment, the calculation gives 0.0000 μB/atom.

It has space group F-43m (No. 216), with a = 7.803 Å, b = 7.803 Å, c = 7.803 Å, α = 90.00°, β = 90.00° and γ = 90.00°. Symmetry generates all atoms from Sr at (0.000, 0.000, 0.000), Li at (0.250, 0.250, 0.250), Dy at (0.000, 0.000, 0.500) and Tl at (0.250, 0.250, 0.750).



Record 3
## RbUAg2I6 (PBE-GGA)

Data for an optimized crystal structure of RbUAg2I6.

The value obtained for the volume is 48.1 Å³/atom. The calculation puts the raw total energy at -136.8 eV/cell. The formation energy from raw total energies comes out at -0.695 eV per atom. For the total moment, the calculation gives 0.3000 μB/atom.

It has space group C2/c (No. 15), with a = 16.332 Å, b = 14.708 Å, c = 8.808 Å, α = 90.00°, β = 114.65° and γ = 90.00°. Symmetry generates all atoms from Rb at (0.000, 0.079, 0.250), U at (0.000, 0.282, 0.750), Ag at (0.194, 0.415, 0.072), I at (0.100, 0.270, 0.137), I at (0.122, 0.120, 0.710) and I at (0.138, 0.426, 0.726).



Record 4
## K2Tl2Cd (PBE-GGA)

Data for an optimized crystal structure of K2Tl2Cd.

For the formation energy, the calculation gives 10 kJ/mol of atoms. The energy above the most stable polymorph in this dataset comes out at 183 meV/atom. The value obtained for the volume is 40.3 Å³/atom. The calculation puts the raw total energy at -14.7 eV/cell. For the total moment, the calculation gives 0.0000 μB/atom.

It has space group P4/mbm (No. 127), with a = 10.530 Å, b = 10.530 Å, c = 3.636 Å, α = 90.00°, β = 90.00° and γ = 90.00°. Symmetry generates all atoms from K at (0.191, 0.309, 0.000), Tl at (0.103, 0.603, 0.500) and Cd at (0.000, 0.000, 0.000).



Record 5
## Ba6IrPd2I (PBE-GGA)

Data for an optimized crystal structure of Ba6IrPd2I.

The value obtained for the volume is 44.2 Å³/atom. The calculation puts the raw total energy at -112.0 eV/cell. The formation energy from raw total energies comes out at -0.501 eV per atom. For the total moment, the calculation gives 0.0003 μB/atom.

It has space group R3 (No. 146, hexagonal axes), with a = 8.1140 Å, b = 8.1140 Å, c = 23.2476 Å, α = 90.00°, β = 90.00° and γ = 120.00°. Symmetry generates all atoms from Ba at (0.0118, 0.3413, 0.0000), Ba at (0.0183, 0.6289, 0.8452), Ir at (0.0000, 0.0000, 0.2610), Pd at (0.0000, 0.0000, 0.0815), Pd at (0.0000, 0.0000, 0.5898) and I at (0.0000, 0.0000, 0.7711).



Record 6
## SrNd2Hg7 (PBE-GGA)

Data for an optimized crystal structure of SrNd2Hg7.

For the formation energy, the calculation gives -32 kJ/mol of atoms. The value obtained for the volume is 28.7 Å³/atom. The calculation puts the raw total energy at -16.7 eV/cell. For the total moment, the calculation gives 0.0000 μB/atom.

It has space group P3m1 (No. 156), with a = 5.1958 Å, b = 5.1958 Å, c = 12.2964 Å, α = 90.00°, β = 90.00° and γ = 120.00°. Symmetry generates all atoms from Sr at (0.0000, 0.0000, 0.0000), Nd at (0.3333, 0.6667, 0.6528), Nd at (0.6667, 0.3333, 0.4359), Hg at (0.0000, 0.0000, 0.2986), Hg at (0.0000, 0.0000, 0.5626), Hg at (0.3333, 0.6667, 0.1404), Hg at (0.3333, 0.6667, 0.3852), Hg at (0.3333, 0.6667, 0.8952), Hg at (0.6667, 0.3333, 0.1621) and Hg at (0.6667, 0.3333, 0.7809).



Record 7
## Zn2FeIr (PBE-GGA)

Data for an optimized crystal structure of Zn2FeIr.

For the formation energy, the calculation gives -3 kJ/mol of atoms. The value obtained for the volume is 13.7 Å³/atom. The calculation puts the raw total energy at -40.0 eV/cell. For the total moment, the calculation gives 0.7452 μB/atom.

It has space group Cmmm (No. 65), with a = 5.324 Å, b = 7.233 Å, c = 2.850 Å, α = 90.00°, β = 90.00° and γ = 90.00°. Symmetry generates all atoms from Zn at (0.250, 0.250, 0.000), Fe at (0.000, 0.000, 0.500) and Ir at (0.000, 0.500, 0.500).



Record 8
## Pu2Ni15Ir2 (PBE-GGA)

Data for an optimized crystal structure of Pu2Ni15Ir2.

For the formation energy, the calculation gives -11 kJ/mol of atoms. The value obtained for the volume is 13.0 Å³/atom. The calculation puts the raw total energy at -405.5 eV/cell. For the total moment, the calculation gives 0.0835 μB/atom.

It has space group R-3m (No. 166, hexagonal axes), with a = 8.3504 Å, b = 8.3504 Å, c = 12.2471 Å, α = 90.00°, β = 90.00° and γ = 120.00°. Symmetry generates all atoms from Pu at (0.0000, 0.0000, 0.1598), Ni at (0.0000, 0.2968, 0.5000), Ni at (0.0000, 0.5000, 0.0000), Ni at (0.0041, 0.5021, 0.6537) and Ir at (0.0000, 0.0000, 0.3950).



Record 9
## KCu3 (PBE-GGA)

Data for an optimized crystal structure of KCu3.

For the formation energy, the calculation gives 58 kJ/mol of atoms. The energy above the most stable polymorph in this dataset comes out at 423 meV/atom. The value obtained for the volume is 17.1 Å³/atom. The calculation puts the raw total energy at -32.9 eV/cell. For the total moment, the calculation gives 0.0000 μB/atom.

It has space group R-3m (No. 166, hexagonal axes), with a = 2.9251 Å, b = 2.9251 Å, c = 27.6372 Å, α = 90.00°, β = 90.00° and γ = 120.00°. Symmetry generates all atoms from K at (0.0000, 0.0000, 0.0000), Cu at (0.0000, 0.0000, 0.2332) and Cu at (0.0000, 0.0000, 0.5000).



Record 10
## Ho2HPb (PBE-GGA)

Data for an optimized crystal structure of Ho2HPb.

The energy above the most stable polymorph in this dataset comes out at 0 meV/atom. The value obtained for the volume is 21.8 Å³/atom. The calculation puts the raw total energy at -36.8 eV/cell. For the total moment, the calculation gives 0.0000 μB/atom.

It has space group P4/nmm (No. 129, origin choice 2), with a = 4.526 Å, b = 4.526 Å, c = 8.518 Å, α = 90.00°, β = 90.00° and γ = 90.00°. Symmetry generates all atoms from Ho at (0.250, 0.250, 0.154), Ho at (0.250, 0.750, 0.500), H at (0.250, 0.250, 0.420) and Pb at (0.250, 0.250, 0.785).



Record 11
## ScTl2Hg (PBE-GGA)

Data for an optimized crystal structure of ScTl2Hg.

For the formation energy, the calculation gives -9 kJ/mol of atoms. The value obtained for the volume is 24.6 Å³/atom. The calculation puts the raw total energy at -23.5 eV/cell. For the total moment, the calculation gives 0.0000 μB/atom.

It has space group I-4m2 (No. 119), with a = 4.468 Å, b = 4.468 Å, c = 9.872 Å, α = 90.00°, β = 90.00° and γ = 90.00°. Symmetry generates all atoms from Sc at (0.000, 0.000, 0.000), Tl at (0.000, 0.000, 0.500), Tl at (0.000, 0.500, 0.750) and Hg at (0.000, 0.500, 0.250).



Record 12
## Rb8Au4Br (PBE-GGA)

Data for an optimized crystal structure of Rb8Au4Br.

The value obtained for the volume is 54.3 Å³/atom. The calculation puts the raw total energy at -83.9 eV/cell. The formation energy from raw total energies comes out at -0.419 eV per atom. For the total moment, the calculation gives 0.0001 μB/atom.

It has space group R-3m (No. 166, hexagonal axes), with a = 9.9309 Å, b = 9.9309 Å, c = 24.7878 Å, α = 90.00°, β = 90.00° and γ = 120.00°. Symmetry generates all atoms from Rb at (0.0000, 0.0000, 0.2486), Rb at (0.0061, 0.5031, 0.7523), Au at (0.0000, 0.0000, 0.5000), Au at (0.0000, 0.5000, 0.5000) and Br at (0.0000, 0.0000, 0.0000).



Record 13
## Ti2MnBeIr (PBE-GGA)

Data for an optimized crystal structure of Ti2MnBeIr.

For the formation energy, the calculation gives 63 kJ/mol of atoms. The value obtained for the volume is 17.0 Å³/atom. The calculation puts the raw total energy at -34.3 eV/cell. For the total moment, the calculation gives 0.0000 μB/atom.

It has space group P4/mmm (No. 123), with a = 4.328 Å, b = 4.328 Å, c = 4.530 Å, α = 90.00°, β = 90.00° and γ = 90.00°. Symmetry generates all atoms from Ti at (0.000, 0.500, 0.000), Mn at (0.000, 0.000, 0.000), Be at (0.500, 0.500, 0.500) and Ir at (0.000, 0.000, 0.500).



Record 14
## ZrMn3Be (PBE-GGA)

Data for an optimized crystal structure of ZrMn3Be.

For the formation energy, the calculation gives 168 kJ/mol of atoms. The energy above the most stable polymorph in this dataset comes out at 1442 meV/atom. The value obtained for the volume is 20.9 Å³/atom. The calculation puts the raw total energy at -31.1 eV/cell. For the total moment, the calculation gives 1.7805 μB/atom.

It has space group Pm-3m (No. 221), with a = 4.711 Å, b = 4.711 Å, c = 4.711 Å, α = 90.00°, β = 90.00° and γ = 90.00°. Symmetry generates all atoms from Zr at (0.000, 0.000, 0.000), Mn at (0.000, 0.000, 0.500) and Be at (0.500, 0.500, 0.500).



Record 15
## TlSi2Mo (PBE-GGA)

Data for an optimized crystal structure of TlSi2Mo.

The energy above the most stable polymorph in this dataset comes out at 459 meV/atom. The value obtained for the volume is 20.1 Å³/atom. The calculation puts the raw total energy at -86.4 eV/cell. The formation energy from raw total energies comes out at 0.613 eV per atom. For the total moment, the calculation gives 0.2359 μB/atom.

It has space group I-42d (No. 122), with a = 4.339 Å, b = 4.339 Å, c = 17.060 Å, α = 90.00°, β = 90.00° and γ = 90.00°. Symmetry generates all atoms from Tl at (0.000, 0.000, 0.000), Si at (0.145, 0.250, 0.625) and Mo at (0.000, 0.000, 0.500).



Record 16
## Dy3Y2PuS6 (PBE-GGA)

Data for an optimized crystal structure of Dy3Y2PuS6.

The value obtained for the volume is 21.2 Å³/atom. The calculation puts the raw total energy at -179.2 eV/cell. The formation energy from raw total energies comes out at -1.981 eV per atom. For the total moment, the calculation gives 0.4924 μB/atom.

It has space group C2/m (No. 12), with a = 17.079 Å, b = 3.902 Å, c = 7.861 Å, α = 90.00°, β = 103.33° and γ = 90.00°. Symmetry generates all atoms from Dy at (0.000, 0.000, 0.000), Dy at (0.166, 0.500, 0.336), Y at (0.164, 0.500, 0.829), Pu at (0.000, 0.000, 0.500), S at (0.001, 0.500, 0.247), S at (0.168, 0.000, 0.084) and S at (0.168, 0.000, 0.584).



Record 17
## AcSm5Ho4 (PBE-GGA)

Data for an optimized crystal structure of AcSm5Ho4.

For the formation energy, the calculation gives 3 kJ/mol of atoms. The value obtained for the volume is 33.7 Å³/atom. The calculation puts the raw total energy at -45.7 eV/cell. For the total moment, the calculation gives 0.0000 μB/atom.

It has space group P4/mmm (No. 123), with a = 3.643 Å, b = 3.643 Å, c = 25.375 Å, α = 90.00°, β = 90.00° and γ = 90.00°. Symmetry generates all atoms from Ac at (0.000, 0.000, 0.000), Sm at (0.500, 0.500, 0.110), Sm at (0.500, 0.500, 0.305), Sm at (0.500, 0.500, 0.500), Ho at (0.000, 0.000, 0.207) and Ho at (0.000, 0.000, 0.402).



Record 18
## TlFeSi2 (PBE-GGA)

Data for an optimized crystal structure of TlFeSi2.

The energy above the most stable polymorph in this dataset comes out at 619 meV/atom. The value obtained for the volume is 17.1 Å³/atom. The calculation puts the raw total energy at -37.3 eV/cell. The formation energy from raw total energies comes out at 0.751 eV per atom. For the total moment, the calculation gives 0.6095 μB/atom.

It has space group I-4m2 (No. 119), with a = 4.080 Å, b = 4.080 Å, c = 8.214 Å, α = 90.00°, β = 90.00° and γ = 90.00°. Symmetry generates all atoms from Tl at (0.000, 0.000, 0.000), Fe at (0.000, 0.500, 0.750), Si at (0.000, 0.000, 0.500) and Si at (0.000, 0.500, 0.250).



Record 19
## Ac2PmNd5Y (PBE-GGA)

Data for an optimized crystal structure of Ac2PmNd5Y.

For the formation energy, the calculation gives 13 kJ/mol of atoms. The value obtained for the volume is 37.6 Å³/atom. The calculation puts the raw total energy at -168.3 eV/cell. For the total moment, the calculation gives 0.0000 μB/atom.

It has space group Cmc2_1 (No. 36), with a = 5.870 Å, b = 20.857 Å, c = 11.048 Å, α = 90.00°, β = 90.00° and γ = 90.00°. Symmetry generates all atoms from Ac at (0.000, 0.112, 0.000), Ac at (0.000, 0.118, 0.587), Pm at (0.000, 0.207, 0.274), Nd at (0.000, 0.019, 0.291), Nd at (0.000, 0.283, 0.573), Nd at (0.000, 0.295, 0.967), Nd at (0.000, 0.395, 0.291), Nd at (0.000, 0.481, 0.010) and Y at (0.000, 0.409, 0.732).



Record 20
## IrRh3 (PBE-GGA)

Data for an optimized crystal structure of IrRh3.

For the formation energy, the calculation gives 178 kJ/mol of atoms. The value obtained for the volume is 26.9 Å³/atom. The calculation puts the raw total energy at -23.6 eV/cell. For the total moment, the calculation gives 0.0000 μB/atom.

It has space group Pm-3m (No. 221), with a = 4.754 Å, b = 4.754 Å, c = 4.754 Å, α = 90.00°, β = 90.00° and γ = 90.00°. Symmetry generates all atoms from Ir at (0.000, 0.000, 0.000) and Rh at (0.000, 0.000, 0.500).



Record 21
## Pr2CdSi2Rh5 (PBE-GGA)

Data for an optimized crystal structure of Pr2CdSi2Rh5.

The value obtained for the volume is 17.9 Å³/atom. The calculation puts the raw total energy at -131.9 eV/cell. The formation energy from raw total energies comes out at -0.787 eV per atom. For the total moment, the calculation gives 0.0000 μB/atom.

It has space group P4/mbm (No. 127), with a = 10.086 Å, b = 10.086 Å, c = 3.510 Å, α = 90.00°, β = 90.00° and γ = 90.00°. Symmetry generates all atoms from Pr at (0.177, 0.323, 0.000), Cd at (0.000, 0.000, 0.000), Si at (0.121, 0.621, 0.000), Rh at (0.000, 0.500, 0.500) and Rh at (0.068, 0.779, 0.500).



Record 22
## Zn2FeBi (PBE-GGA)

Data for an optimized crystal structure of Zn2FeBi.

For the formation energy, the calculation gives 38 kJ/mol of atoms. The value obtained for the volume is 20.0 Å³/atom. The calculation puts the raw total energy at -53.3 eV/cell. For the total moment, the calculation gives 0.6396 μB/atom.

It has space group I-42d (No. 122), with a = 4.158 Å, b = 4.158 Å, c = 18.494 Å, α = 90.00°, β = 90.00° and γ = 90.00°. Symmetry generates all atoms from Zn at (0.162, 0.250, 0.125), Fe at (0.000, 0.000, 0.000) and Bi at (0.000, 0.000, 0.500).



Record 23
## LaAlHg (PBE-GGA)

Data for an optimized crystal structure of LaAlHg.

For the formation energy, the calculation gives -38 kJ/mol of atoms. The value obtained for the volume is 26.5 Å³/atom. The calculation puts the raw total energy at -40.6 eV/cell. For the total moment, the calculation gives 0.0000 μB/atom.

It has space group C2/m (No. 12), with a = 12.713 Å, b = 4.311 Å, c = 5.881 Å, α = 90.00°, β = 99.88° and γ = 90.00°. Symmetry generates all atoms from La at (0.113, 0.000, 0.320), Al at (0.227, 0.000, 0.850) and Hg at (0.086, 0.500, 0.799).